Record 1
Below is Zr4TlInP2 after structural relaxation, with properties calculated at the PBE level.

V	174	Å³/f.u.
total energy	-7.11	eV per atom

Unit cell a=3.6273 b=3.6273 c=15.2704 alpha=90.00 beta=90.00 gamma=120.00
Last column: nearest neighbours and their distance in Å.
Fractional coordinates of all 8 atoms:
1 Zr 0.0000 0.0000 0.1536  3 P 2.55
2 Zr 0.0000 0.0000 0.8464  3 P 2.55
3 Zr 0.3333 0.6667 0.3448  3 P 2.55
4 Zr 0.3333 0.6667 0.6552  3 P 2.55
5 Tl 0.0000 0.0000 0.5000  6 Zr 3.16
6 In 0.3333 0.6667 0.0000  6 Zr 3.14
7 P 0.6667 0.3333 0.2493  6 Zr 2.55
8 P 0.6667 0.3333 0.7507  6 Zr 2.55

---

Record 2
Below is InP5W3 after structural relaxation, with properties calculated at the PBE level.

V	184	Å³/f.u.
total energy	-7.39	eV per atom

Unit cell a=5.3374 b=5.3374 c=7.4496 alpha=90.00 beta=90.00 gamma=120.00
Last column: nearest neighbours and their distance in Å.
Fractional coordinates of all 9 atoms:
1 In 0.0000 0.0000 0.0000  14 P 3.53-3.72
2 P 0.0000 0.0000 0.5000  6 W 2.67
3 P 0.3333 0.6667 0.2317  3 W 2.52
4 P 0.3333 0.6667 0.7683  3 W 2.52
5 P 0.6667 0.3333 0.2317  3 W 2.52
6 P 0.6667 0.3333 0.7683  3 W 2.52
7 W 0.0000 0.5000 0.5000  6 P 2.52-2.67, 4 W 2.67
8 W 0.5000 0.0000 0.5000  6 P 2.52-2.67, 4 W 2.67
9 W 0.5000 0.5000 0.5000  6 P 2.52-2.67, 4 W 2.67

---

Record 3
Below is Zr3InP after structural relaxation, with properties calculated at the PBE level.

V	109	Å³/f.u.
total energy	-7.47	eV per atom

Unit cell a=6.2579 b=6.2579 c=9.8668 alpha=90.00 beta=90.00 gamma=145.67
Last column: nearest neighbours and their distance in Å.
Fractional coordinates of all 10 atoms:
1 Zr 0.0446 0.9554 0.7500  2 P 2.52
2 Zr 0.3598 0.6402 0.5490  2 P 2.54
3 Zr 0.3598 0.6402 0.9510  2 P 2.54
4 Zr 0.6402 0.3598 0.0490  2 P 2.54
5 Zr 0.6402 0.3598 0.4510  2 P 2.54
6 Zr 0.9554 0.0446 0.2500  2 P 2.52
7 In 0.2544 0.7456 0.2500  8 Zr 3.03-3.21
8 In 0.7456 0.2544 0.7500  8 Zr 3.03-3.21
9 P 0.0000 0.0000 0.0000  6 Zr 2.52-2.54
10 P 0.0000 0.0000 0.5000  6 Zr 2.52-2.54

---

Record 4
Below is PaIn after structural relaxation, with properties calculated at the PBE level.

V	50	Å³/f.u.
energy above the most stable polymorph in this dataset	0	meV per atom
total energy	-6.18	eV per atom

Unit cell a=3.1919 b=3.1919 c=5.6610 alpha=90.00 beta=90.00 gamma=120.00
Last column: nearest neighbours and their distance in Å.
Fractional coordinates of all 2 atoms:
1 Pa 0.0000 0.0000 0.0000  6 Pa 3.19, 6 In 3.38
2 In 0.3333 0.6667 0.5000  6 In 3.19, 6 Pa 3.38

---

Record 5
Below is Pa7In after structural relaxation, with properties calculated at the PBE level.

V	198	Å³/f.u.
total energy	-8.69	eV per atom

Unit cell a=6.5438 b=6.5438 c=6.5438 alpha=60.00 beta=60.00 gamma=60.00
Last column: nearest neighbours and their distance in Å.
Fractional coordinates of all 8 atoms:
1 Pa 0.0000 0.0000 0.0000  12 Pa 3.27
2 Pa 0.0000 0.0000 0.5000  2 In 3.27, 10 Pa 3.27
3 Pa 0.0000 0.5000 0.0000  2 In 3.27, 10 Pa 3.27
4 Pa 0.0000 0.5000 0.5000  2 In 3.27, 10 Pa 3.27
5 Pa 0.5000 0.0000 0.0000  2 In 3.27, 10 Pa 3.27
6 Pa 0.5000 0.0000 0.5000  2 In 3.27, 10 Pa 3.27
7 Pa 0.5000 0.5000 0.0000  2 In 3.27, 10 Pa 3.27
8 In 0.5000 0.5000 0.5000  12 Pa 3.27

---

Record 6
Below is PaIn after structural relaxation, with properties calculated at the PBE level.

V	82	Å³/f.u.
energy above the most stable polymorph in this dataset	1600	meV per atom
total energy	-4.58	eV per atom

Unit cell a=4.8748 b=4.8748 c=4.8748 alpha=60.00 beta=60.00 gamma=60.00
Last column: nearest neighbours and their distance in Å.
Fractional coordinates of all 2 atoms:
1 Pa 0.0000 0.0000 0.0000  4 In 2.99
2 In 0.2500 0.2500 0.2500  4 Pa 2.99

---

Record 7
Below is PaIn after structural relaxation, with properties calculated at the PBE level.

V	60	Å³/f.u.
energy above the most stable polymorph in this dataset	659	meV per atom
total energy	-5.52	eV per atom

Unit cell a=4.3979 b=4.3979 c=4.3979 alpha=60.00 beta=60.00 gamma=60.00
Last column: nearest neighbours and their distance in Å.
Fractional coordinates of all 2 atoms:
1 Pa 0.0000 0.0000 0.0000  6 In 3.11
2 In 0.5000 0.5000 0.5000  6 Pa 3.11

---

Record 8
Below is PaInPb after structural relaxation, with properties calculated at the PBE level.

V	99	Å³/f.u.
energy above the most stable polymorph in this dataset	0	meV per atom
total energy	-4.87	eV per atom

Unit cell a=5.1943 b=5.1943 c=5.1943 alpha=60.00 beta=60.00 gamma=60.00
Last column: nearest neighbours and their distance in Å.
Fractional coordinates of all 3 atoms:
1 Pa 0.0000 0.0000 0.0000  4 In 3.18, 4 Pb 3.18
2 In 0.7500 0.7500 0.7500  4 Pa 3.18
3 Pb 0.2500 0.2500 0.2500  4 Pa 3.18

---

Record 9
Below is PaInPb after structural relaxation, with properties calculated at the PBE level.

V	95	Å³/f.u.
energy above the most stable polymorph in this dataset	116	meV per atom
total energy	-4.75	eV per atom

Unit cell a=5.1175 b=5.1175 c=5.1175 alpha=60.00 beta=60.00 gamma=60.00
Last column: nearest neighbours and their distance in Å.
Fractional coordinates of all 3 atoms:
1 Pa 0.0000 0.0000 0.0000  4 In 3.13
2 In 0.2500 0.2500 0.2500  4 Pb 3.13, 4 Pa 3.13
3 Pb 0.5000 0.5000 0.5000  4 In 3.13

---

Record 10
Below is PaIn5Pd after structural relaxation, with properties calculated at the PBE level.

V	167	Å³/f.u.
total energy	-4.33	eV per atom

Unit cell a=4.7207 b=4.7207 c=7.4992 alpha=90.00 beta=90.00 gamma=90.00
Last column: nearest neighbours and their distance in Å.
Fractional coordinates of all 7 atoms:
1 Pa 0.0000 0.0000 0.0000  12 In 3.24-3.34
2 In 0.0000 0.5000 0.2962  2 Pd 2.81, 1 In 3.06
3 In 0.0000 0.5000 0.7038  2 Pd 2.81, 1 In 3.06
4 In 0.5000 0.0000 0.2962  2 Pd 2.81, 1 In 3.06
5 In 0.5000 0.0000 0.7038  2 Pd 2.81, 1 In 3.06
6 In 0.5000 0.5000 0.0000  8 In 3.24, 4 Pa 3.34
7 Pd 0.0000 0.0000 0.5000  8 In 2.81

---

Record 11
Below is Pa2InPd2 after structural relaxation, with properties calculated at the PBE level.

V	112	Å³/f.u.
total energy	-6.93	eV per atom

Unit cell a=7.7955 b=7.7955 c=3.6711 alpha=90.00 beta=90.00 gamma=90.00
Last column: nearest neighbours and their distance in Å.
Fractional coordinates of all 10 atoms:
1 Pa 0.1747 0.3253 0.0000  6 Pd 2.84-3.01
2 Pa 0.3253 0.8253 0.0000  6 Pd 2.84-3.01
3 Pa 0.6747 0.1747 0.0000  6 Pd 2.84-3.01
4 Pa 0.8253 0.6747 0.0000  6 Pd 2.84-3.01
5 In 0.0000 0.0000 0.5000  4 Pd 3.07, 8 Pa 3.41
6 In 0.5000 0.5000 0.5000  4 Pd 3.07, 8 Pa 3.41
7 Pd 0.1283 0.6283 0.5000  1 Pd 2.83, 6 Pa 2.84-3.01, 2 In 3.07
8 Pd 0.3717 0.1283 0.5000  1 Pd 2.83, 6 Pa 2.84-3.01, 2 In 3.07
9 Pd 0.6283 0.8717 0.5000  1 Pd 2.83, 6 Pa 2.84-3.01, 2 In 3.07
10 Pd 0.8717 0.3717 0.5000  1 Pd 2.83, 6 Pa 2.84-3.01, 2 In 3.07

---

Record 12
Below is PaInPt after structural relaxation, with properties calculated at the PBE level.

V	75	Å³/f.u.
total energy	-6.73	eV per atom

Unit cell a=4.7247 b=4.7247 c=4.7247 alpha=60.00 beta=60.00 gamma=60.00
Last column: nearest neighbours and their distance in Å.
Fractional coordinates of all 3 atoms:
1 Pa 0.0000 0.0000 0.0000  4 Pt 2.89
2 In 0.5000 0.5000 0.5000  4 Pt 2.89
3 Pt 0.7500 0.7500 0.7500  4 In 2.89, 4 Pa 2.89

---

Record 13
Below is PaInPt after structural relaxation, with properties calculated at the PBE level.

V	80	Å³/f.u.
total energy	-5.99	eV per atom

Unit cell a=4.8422 b=4.8422 c=4.8422 alpha=60.00 beta=60.00 gamma=60.00
Last column: nearest neighbours and their distance in Å.
Fractional coordinates of all 3 atoms:
1 Pa 0.0000 0.0000 0.0000  4 In 2.97, 4 Pt 2.97
2 In 0.7500 0.7500 0.7500  4 Pa 2.97
3 Pt 0.2500 0.2500 0.2500  4 Pa 2.97

---

Record 14
Below is PaInRe after structural relaxation, with properties calculated at the PBE level.

V	77	Å³/f.u.
total energy	-7.11	eV per atom

Unit cell a=4.7793 b=4.7793 c=4.7793 alpha=60.00 beta=60.00 gamma=60.00
Last column: nearest neighbours and their distance in Å.
Fractional coordinates of all 3 atoms:
1 Pa 0.0000 0.0000 0.0000  4 In 2.93, 4 Re 2.93
2 In 0.7500 0.7500 0.7500  4 Pa 2.93
3 Re 0.2500 0.2500 0.2500  4 Pa 2.93

---

Record 15
Below is PaInRe after structural relaxation, with properties calculated at the PBE level.

V	72	Å³/f.u.
total energy	-7.91	eV per atom

Unit cell a=4.6804 b=4.6804 c=4.6804 alpha=60.00 beta=60.00 gamma=60.00
Last column: nearest neighbours and their distance in Å.
Fractional coordinates of all 3 atoms:
1 Pa 0.0000 0.0000 0.0000  4 Re 2.87
2 In 0.5000 0.5000 0.5000  4 Re 2.87
3 Re 0.2500 0.2500 0.2500  4 In 2.87, 4 Pa 2.87

---

Record 16
Below is Pa2In2Re after structural relaxation, with properties calculated at the PBE level.

V	117	Å³/f.u.
total energy	-7.46	eV per atom

Unit cell a=3.2597 b=3.2597 c=21.9758 alpha=90.00 beta=90.00 gamma=90.10
Last column: nearest neighbours and their distance in Å.
Fractional coordinates of all 10 atoms:
1 Pa 0.2347 0.7653 0.6664  4 Re 2.95, 4 Pa 3.26
2 Pa 0.2347 0.7653 0.8336  4 Re 2.95, 4 Pa 3.26
3 Pa 0.7653 0.2347 0.1664  4 Re 2.95, 4 Pa 3.26
4 Pa 0.7653 0.2347 0.3336  4 Re 2.95, 4 Pa 3.26
5 In 0.2587 0.7413 0.0521  8 In 3.19-3.31, 4 Pa 3.39-3.43
6 In 0.2587 0.7413 0.4479  8 In 3.19-3.31, 4 Pa 3.39-3.43
7 In 0.7413 0.2587 0.5521  8 In 3.19-3.31, 4 Pa 3.39-3.43
8 In 0.7413 0.2587 0.9479  8 In 3.19-3.31, 4 Pa 3.39-3.43
9 Re 0.2656 0.7344 0.2500  8 Pa 2.95, 4 Re 3.26
10 Re 0.7344 0.2656 0.7500  8 Pa 2.95, 4 Re 3.26

---

Record 17
Below is Pa2InSb3 after structural relaxation, with properties calculated at the PBE level.

V	163	Å³/f.u.
total energy	-6.13	eV per atom

Unit cell a=4.3268 b=4.3268 c=8.7048 alpha=90.00 beta=90.00 gamma=90.00
Last column: nearest neighbours and their distance in Å.
Fractional coordinates of all 6 atoms:
1 Pa 0.0000 0.5000 0.2131  7 Sb 3.11-3.30, 2 In 3.30
2 Pa 0.5000 0.0000 0.7869  7 Sb 3.11-3.30, 2 In 3.30
3 In 0.0000 0.0000 0.5000  4 Sb 3.06, 4 Pa 3.30
4 Sb 0.0000 0.5000 0.8523  5 Pa 3.11-3.14
5 Sb 0.5000 0.0000 0.1477  5 Pa 3.11-3.14
6 Sb 0.5000 0.5000 0.5000  4 In 3.06, 4 Pa 3.30

---

Record 18
Below is PaIn2Sb after structural relaxation, with properties calculated at the PBE level.

V	100	Å³/f.u.
total energy	-5.04	eV per atom

Unit cell a=4.4927 b=4.4927 c=4.9790 alpha=90.00 beta=90.00 gamma=90.00
Last column: nearest neighbours and their distance in Å.
Fractional coordinates of all 4 atoms:
1 Pa 0.0000 0.0000 0.0000  4 Sb 3.18, 8 In 3.35
2 In 0.0000 0.5000 0.5000  4 In 3.18, 4 Pa 3.35, 4 Sb 3.35
3 In 0.5000 0.0000 0.5000  4 In 3.18, 4 Pa 3.35, 4 Sb 3.35
4 Sb 0.5000 0.5000 0.0000  4 Pa 3.18, 8 In 3.35

---

Record 19
Below is PaInSb after structural relaxation, with properties calculated at the PBE level.

V	92	Å³/f.u.
energy above the most stable polymorph in this dataset	267	meV per atom
total energy	-5.01	eV per atom

Unit cell a=5.0729 b=5.0729 c=5.0729 alpha=60.00 beta=60.00 gamma=60.00
Last column: nearest neighbours and their distance in Å.
Fractional coordinates of all 3 atoms:
1 Pa 0.0000 0.0000 0.0000  4 In 3.11
2 In 0.2500 0.2500 0.2500  4 Sb 3.11, 4 Pa 3.11
3 Sb 0.5000 0.5000 0.5000  4 In 3.11

---

Record 20
Below is PaInSb after structural relaxation, with properties calculated at the PBE level.

V	95	Å³/f.u.
energy above the most stable polymorph in this dataset	0	meV per atom
total energy	-5.28	eV per atom

Unit cell a=5.1225 b=5.1225 c=5.1225 alpha=60.00 beta=60.00 gamma=60.00
Last column: nearest neighbours and their distance in Å.
Fractional coordinates of all 3 atoms:
1 Pa 0.0000 0.0000 0.0000  4 In 3.14, 4 Sb 3.14
2 In 0.7500 0.7500 0.7500  4 Pa 3.14
3 Sb 0.2500 0.2500 0.2500  4 Pa 3.14